[1]
Here is RbTmGeSe4 after structural relaxation from Alexandria. Energies are from GGA-PBE.

abc: 6.7192 7.0837 9.4800
angles: 90.00 108.22 90.00
Closest atoms and distances in Å follow each position.
Space group P2_1/m (No. 11)
Symmetry-distinct sites (fractional):
Rb1 0.2476 0.2500 0.0573 (multiplicity 2)  6 Se 3.38-3.73
Tm1 0.2240 0.2500 0.5498 (multiplicity 2)  6 Se 2.84-2.96
Ge1 0.2254 0.7500 0.3370 (multiplicity 2)  4 Se 2.35-2.39
Se1 0.0157 0.5081 0.6999 (multiplicity 4)  1 Ge 2.39
Se2 0.4304 0.7500 0.1765 (multiplicity 2)  1 Ge 2.35
Se3 0.4513 0.7500 0.5828 (multiplicity 2)  1 Ge 2.35

Final energy   -63.4 eV per cell
Raw formation energy   -1102.1 meV/atom

***

[2]
Here is GdTaRh2 after structural relaxation from Alexandria. Energies are from GGA-PBE.

abc: 6.6287 6.6287 6.6287
angles: 90.00 90.00 90.00
Closest atoms and distances in Å follow each position.
Space group Fm-3m (No. 225)
Symmetry-distinct sites (fractional):
Gd1 0.0000 0.0000 0.0000 (multiplicity 4)  8 Rh 2.87
Ta1 0.0000 0.0000 0.5000 (multiplicity 4)  8 Rh 2.87
Rh1 0.2500 0.2500 0.2500 (multiplicity 8)  4 Gd 2.87, 4 Ta 2.87

Final energy   -168.8 eV per cell
DOS(E_F)   1.23 states/eV per atom
ΔE to the lowest computed polymorph   186 meV per atom
Energy of formation from the pure elements   -1.560 eV per formula unit

***

[3]
Here is Sr3Pr after structural relaxation from Alexandria. Energies are from GGA-PBE.

abc: 3.7977 3.9410 13.0179
angles: 90.00 90.00 90.00
Closest atoms and distances in Å follow each position.
Space group Pmm2 (No. 25)
Symmetry-distinct sites (fractional):
Sr1 0.0000 0.0000 0.0000 (multiplicity 1)  6 Sr 3.80-4.11
Sr2 0.0000 0.5000 0.2766 (multiplicity 1)  6 Sr 3.80-4.11, 4 Pr 3.97
Sr3 0.5000 0.5000 0.7483 (multiplicity 1)  4 Sr 3.80-3.94, 2 Pr 3.82
Pr1 0.5000 0.0000 0.4973 (multiplicity 1)  4 Pr 3.80-3.94, 6 Sr 3.82-3.97

Final energy   -8.9 eV per cell
DOS(E_F)   1.48 states/eV per atom
ΔE to the lowest computed polymorph   97 meV per atom
Energy of formation from the pure elements   0.915 eV per formula unit

***

[4]
Here is Rb2CoSb2 after structural relaxation from Alexandria. Energies are from GGA-PBE.

abc: 6.9107 6.9107 6.2196
angles: 90.00 90.00 90.00
Closest atoms and distances in Å follow each position.
Space group P4/mbm (No. 127)
Symmetry-distinct sites (fractional):
Rb1 0.1714 0.3286 0.0000 (multiplicity 4)  5 Rb 3.35-3.62, 2 Sb 3.55
Co1 0.0000 0.0000 0.5000 (multiplicity 2)  4 Sb 2.62
Sb1 0.1537 0.6537 0.5000 (multiplicity 4)  2 Co 2.62

Final energy   -35.1 eV per cell
DOS(E_F)   0.29 states/eV per atom
Raw formation energy   -48.8 meV/atom

***

[5]
Here is LaP2Os after structural relaxation from Alexandria. Energies are from GGA-PBE.

abc: 3.1317 3.1317 7.0284
angles: 90.00 90.00 90.00
Closest atoms and distances in Å follow each position.
Space group P4/mmm (No. 123)
Symmetry-distinct sites (fractional):
La1 0.0000 0.0000 0.0000 (multiplicity 1)  8 P 3.08, 4 La 3.13
P1 0.5000 0.5000 0.3052 (multiplicity 2)  4 Os 2.60, 1 P 2.74
Os1 0.0000 0.0000 0.5000 (multiplicity 1)  8 P 2.60

Final energy   -27.8 eV per cell
DOS(E_F)   0.62 states/eV per atom
ΔE to the lowest computed polymorph   672 meV per atom
Energy of formation from the pure elements   -0.819 eV per formula unit

***

[6]
Here is Rb3Tm2MnTe6 after structural relaxation from Alexandria. Energies are from GGA-PBE.

abc: 7.7570 13.0428 8.9197
angles: 90.00 107.51 90.00
Closest atoms and distances in Å follow each position.
Space group C2/m (No. 12)
Symmetry-distinct sites (fractional):
Rb1 0.0000 0.0000 0.0000 (multiplicity 2)  6 Te 3.64
Rb2 0.0000 0.3264 0.0000 (multiplicity 4)  6 Te 3.60-3.76
Tm1 0.0000 0.1622 0.5000 (multiplicity 4)  6 Te 3.03-3.13
Mn1 0.0000 0.5000 0.5000 (multiplicity 2)  6 Te 2.81-3.11
Te1 0.2140 0.3447 0.6832 (multiplicity 8)  1 Mn 2.81, 2 Tm 3.08-3.13
Te2 0.2376 0.0000 0.7044 (multiplicity 4)  2 Tm 3.03, 1 Mn 3.11

Final energy   -104.4 eV per cell
DOS(E_F)   0.20 states/eV per atom
Raw formation energy   -1028.3 meV/atom

***

[7]
Here is Sr2TcBi2 after structural relaxation from Alexandria. Energies are from GGA-PBE.

abc: 6.7054 6.7054 8.6359
angles: 90.00 90.00 90.00
Closest atoms and distances in Å follow each position.
Space group I4/mmm (No. 139)
Symmetry-distinct sites (fractional):
Sr1 0.0000 0.5000 0.2500 (multiplicity 4)  4 Bi 3.40
Tc1 0.0000 0.0000 0.0000 (multiplicity 2)  2 Bi 2.71
Bi1 0.0000 0.0000 0.3137 (multiplicity 4)  1 Tc 2.71

Final energy   -40.0 eV per cell
DOS(E_F)   1.06 states/eV per atom
ΔE to the lowest computed polymorph   422 meV per atom
Energy of formation from the pure elements   1.495 eV per formula unit

***

[8]
Here is AsCl after structural relaxation from Alexandria. Energies are from GGA-PBE.

abc: 4.6327 4.6327 7.6322
angles: 90.00 90.00 120.00
Closest atoms and distances in Å follow each position.
Space group P-3m1 (No. 164)
Symmetry-distinct sites (fractional):
As1 0.3333 0.6667 0.4966 (multiplicity 2)  1 Cl 2.22
Cl1 0.3333 0.6667 0.2059 (multiplicity 2)  1 As 2.22

Final energy   -14.5 eV per cell
Raw formation energy   -365.7 meV/atom

***

[9]
Here is SrNd2Pd3 after structural relaxation from Alexandria. Energies are from GGA-PBE.

abc: 3.6396 3.6396 11.1864
angles: 90.00 90.00 90.00
Closest atoms and distances in Å follow each position.
Space group P4/mmm (No. 123)
Symmetry-distinct sites (fractional):
Sr1 0.0000 0.0000 0.0000 (multiplicity 1)  8 Pd 3.36, 4 Sr 3.64, 2 Nd 3.75
Nd1 0.0000 0.0000 0.3355 (multiplicity 2)  8 Pd 3.03-3.16
Pd1 0.5000 0.5000 0.1926 (multiplicity 2)  4 Nd 3.03, 4 Sr 3.36
Pd2 0.5000 0.5000 0.5000 (multiplicity 1)  8 Nd 3.16, 2 Pd 3.44

Final energy   -31.0 eV per cell
DOS(E_F)   0.49 states/eV per atom
Energy of formation from the pure elements   -4.252 eV per formula unit

***

[10]
Here is TlAs2Ir after structural relaxation from Alexandria. Energies are from GGA-PBE.

abc: 6.7206 6.7206 6.7206
angles: 90.00 90.00 90.00
Closest atoms and distances in Å follow each position.
Space group Fm-3m (No. 225)
Symmetry-distinct sites (fractional):
Tl1 0.0000 0.0000 0.0000 (multiplicity 4)  8 As 2.91
As1 0.2500 0.2500 0.2500 (multiplicity 8)  4 Tl 2.91, 4 Ir 2.91
Ir1 0.0000 0.0000 0.5000 (multiplicity 4)  8 As 2.91

Final energy   -75.1 eV per cell
DOS(E_F)   0.05 states/eV per atom
ΔE to the lowest computed polymorph   512 meV per atom
Energy of formation from the pure elements   1.752 eV per formula unit

***

[11]
Here is Ce3ErCo after structural relaxation from Alexandria. Energies are from GGA-PBE.

abc: 6.0903 6.1480 7.0397
angles: 90.01 90.20 90.00
Closest atoms and distances in Å follow each position.
Space group P1 (No. 1)
Symmetry-distinct sites (fractional):
Ce1 0.0000 0.0000 0.0000 (multiplicity 1)  2 Co 2.62-2.77, 1 Ce 2.88
Ce2 0.0019 0.9995 0.4700 (multiplicity 1)  2 Co 2.62-2.78, 1 Ce 2.88
Ce3 0.4947 0.8061 0.7364 (multiplicity 1)  1 Co 2.56
Ce4 0.5001 0.4226 0.4999 (multiplicity 1)  2 Co 2.62-2.76, 1 Ce 2.89
Ce5 0.5019 0.4232 0.9700 (multiplicity 1)  2 Co 2.63-2.78, 1 Ce 2.87
Ce6 0.9946 0.6166 0.2348 (multiplicity 1)  1 Co 2.56
Er1 0.4967 0.9134 0.2369 (multiplicity 1)  1 Co 2.73
Er2 0.9967 0.5093 0.7353 (multiplicity 1)  1 Co 2.73
Co1 0.2371 0.2756 0.2341 (multiplicity 1)  5 Ce 2.56-2.78, 1 Er 2.73
Co2 0.7371 0.1471 0.7332 (multiplicity 1)  5 Ce 2.56-2.78, 1 Er 2.73

Final energy   -58.6 eV per cell
DOS(E_F)   2.37 states/eV per atom
ΔE to the lowest computed polymorph   0 meV per atom
Energy of formation from the pure elements   0.163 eV per formula unit

***

[12]
Here is Cr3BiMo after structural relaxation from Alexandria. Energies are from GGA-PBE.

abc: 4.7538 4.7538 4.7538
angles: 90.00 90.00 90.00
Closest atoms and distances in Å follow each position.
Space group Pm-3m (No. 221)
Symmetry-distinct sites (fractional):
Cr1 0.0000 0.0000 0.5000 (multiplicity 3)  2 Mo 2.38
Bi1 0.5000 0.5000 0.5000 (multiplicity 1)  12 Cr 3.36
Mo1 0.0000 0.0000 0.0000 (multiplicity 1)  6 Cr 2.38

Final energy   -37.6 eV per cell
DOS(E_F)   0.65 states/eV per atom
ΔE to the lowest computed polymorph   0 meV per atom
Energy of formation from the pure elements   6.011 eV per formula unit

***

[13]
Here is Li3Zn5Ga3 after structural relaxation from Alexandria. Energies are from GGA-PBE.

abc: 8.8401 8.8401 2.8277
angles: 90.00 90.00 120.00
Closest atoms and distances in Å follow each position.
Space group P-62m (No. 189)
Symmetry-distinct sites (fractional):
Li1 0.0000 0.5864 0.0000 (multiplicity 3)  2 Ga 2.57, 2 Zn 2.59, 2 Li 2.83
Zn1 0.0000 0.3413 0.5000 (multiplicity 3)  2 Li 2.59, 2 Ga 2.61, 2 Zn 2.83
Zn2 0.3333 0.6667 0.5000 (multiplicity 2)  5 Zn 2.83-2.91, 6 Li 3.02
Ga1 0.0000 0.8297 0.5000 (multiplicity 3)  2 Li 2.57, 4 Ga 2.61-2.83, 2 Zn 2.61

Final energy   -21.3 eV per cell
DOS(E_F)   0.31 states/eV per atom
Energy of formation from the pure elements   -0.154 eV per formula unit

***

[14]
Here is Er3PdRh8 after structural relaxation from Alexandria. Energies are from GGA-PBE.

abc: 5.2614 5.2614 25.8484
angles: 90.00 90.00 120.00
Closest atoms and distances in Å follow each position.
Space group R3m (No. 160, hexagonal axes)
Symmetry-distinct sites (fractional):
Er1 0.0000 0.0000 0.0000 (multiplicity 3)  12 Rh 3.08-3.10, 4 Er 3.33-3.39
Er2 0.0000 0.0000 0.1311 (multiplicity 3)  12 Rh 2.95-3.18, 3 Pd 3.13
Er3 0.0000 0.0000 0.6140 (multiplicity 3)  9 Rh 2.96-3.14, 1 Pd 3.12
Pd1 0.0000 0.0000 0.4935 (multiplicity 3)  12 Rh 2.95-3.17, 4 Er 3.12-3.13
Rh1 0.0000 0.0000 0.3119 (multiplicity 3)  6 Rh 2.64
Rh2 0.0000 0.0000 0.8122 (multiplicity 3)  6 Rh 2.63
Rh3 0.0000 0.5000 0.0623 (multiplicity 9)  6 Rh 2.63-2.64
Rh4 0.0014 0.5007 0.5619 (multiplicity 9)  6 Rh 2.62-2.64

Final energy   -253.8 eV per cell
DOS(E_F)   1.21 states/eV per atom
Energy of formation from the pure elements   -6.902 eV per formula unit

***

[15]
Here is BaSeCl2 after structural relaxation from Alexandria. Energies are from GGA-PBE.

abc: 7.2280 8.6498 4.6031
angles: 90.00 90.00 90.00
Closest atoms and distances in Å follow each position.
Space group Cmmm (No. 65)
Symmetry-distinct sites (fractional):
Ba1 0.0000 0.0000 0.0000 (multiplicity 2)  4 Cl 3.05
Se1 0.0000 0.5000 0.0000 (multiplicity 2)  4 Cl 3.27, 2 Ba 3.61
Cl1 0.0000 0.2316 0.5000 (multiplicity 4)  2 Ba 3.05, 2 Se 3.27

Final energy   -27.8 eV per cell
ΔE to the lowest computed polymorph   352 meV per atom
Raw formation energy   -1203.5 meV/atom